--- 1 ---
The following is a PBE-GGA calculation of crystalline AcPm2Pd at its relaxed geometry, from Alexandria.

V (Å³ per atom): 32.8

Cell lengths 3.6239, 3.6239, 11.7305 Å; angles 81.11, 81.11, 60.00 degrees
Last column: nearest neighbours and their distance in Å.
Element x y z (fractional)
1 Pm 0.9230 0.9230 0.2311  1 Pd 2.67
2 Pd 0.0000 0.0000 0.0000  2 Pm 2.67
3 Pm 0.0770 0.0770 0.7689  1 Pd 2.67
4 Ac 0.5000 0.5000 0.5000  6 Ac 3.62, 6 Pm 3.74



--- 2 ---
The following is a PBE-GGA calculation of crystalline AcPm2Pd at its relaxed geometry, from Alexandria.

V (Å³ per atom): 32.1

Cell lengths 6.7167, 7.4276, 10.3003 Å; angles 90.00, 90.00, 90.00 degrees
Last column: nearest neighbours and their distance in Å.
Element x y z (fractional)
1 Pd 0.4110 0.8855 0.2500  4 Pm 2.95-2.97, 2 Ac 3.09-3.17
2 Ac 0.1428 0.9735 0.7500  2 Pd 3.09-3.17
3 Pm 0.8330 0.3227 0.9376  2 Pd 2.95-2.97
4 Pd 0.5890 0.1145 0.7500  4 Pm 2.95-2.97, 2 Ac 3.09-3.17
5 Pm 0.6670 0.8227 0.5624  2 Pd 2.95-2.97
6 Pm 0.3330 0.1773 0.4376  2 Pd 2.95-2.97
7 Pm 0.1670 0.6773 0.4376  2 Pd 2.95-2.97
8 Pm 0.6670 0.8227 0.9376  2 Pd 2.95-2.97
9 Ac 0.3572 0.4735 0.7500  2 Pd 3.09-3.17
10 Pm 0.3330 0.1773 0.0624  2 Pd 2.95-2.97
11 Pd 0.0890 0.3855 0.2500  4 Pm 2.95-2.97, 2 Ac 3.09-3.17
12 Pd 0.9110 0.6145 0.7500  4 Pm 2.95-2.97, 2 Ac 3.09-3.17
13 Ac 0.8572 0.0265 0.2500  2 Pd 3.09-3.17
14 Pm 0.1670 0.6773 0.0624  2 Pd 2.95-2.97
15 Pm 0.8330 0.3227 0.5624  2 Pd 2.95-2.97
16 Ac 0.6428 0.5265 0.2500  2 Pd 3.09-3.17



--- 3 ---
The following is a PBE-GGA calculation of crystalline AcPm2Pd at its relaxed geometry, from Alexandria.

V (Å³ per atom): 31.2

Cell lengths 3.7071, 3.7071, 9.0911 Å; angles 90.00, 90.00, 90.00 degrees
Last column: nearest neighbours and their distance in Å.
Element x y z (fractional)
1 Pd 0.5000 0.5000 0.0000  8 Pm 3.11
2 Pm 0.0000 0.0000 0.8149  4 Pd 3.11, 1 Pm 3.37
3 Ac 0.5000 0.5000 0.5000  4 Ac 3.71, 8 Pm 3.88
4 Pm 0.0000 0.0000 0.1851  4 Pd 3.11, 1 Pm 3.37



Among the structures above, stability is greatest for 2.